Entry A
Material: Zr2CrRh
Method: DFT, SCAN
State: single point on PBEsol structure

calculated volume = 203.23 Å³ per cell
crystal system = trigonal

Geometry as CIF:
```
data_Zr2CrRh
_chemical_formula_sum 'Zr6 Cr3 Rh3'
_symmetry_space_group_name_H-M 'R -3 m'
_symmetry_Int_Tables_number 166
_symmetry_space_group_name_Hall '-R 3 2"'
_cell_length_a 3.1111
_cell_length_b 3.1111
_cell_length_c 24.2451
_cell_angle_alpha 90.00
_cell_angle_beta 90.00
_cell_angle_gamma 120.00
loop_
_atom_site_label
_atom_site_type_symbol
_atom_site_fract_x
_atom_site_fract_y
_atom_site_fract_z
Zr1 Zr 0.0000 0.0000 0.2467
Cr1 Cr 0.0000 0.0000 0.5000
Rh1 Rh 0.0000 0.0000 0.0000
```

=====

Entry B
Material: Zr2CrRh
Method: DFT, SCAN
State: single point on PBEsol structure

calculated volume = 66.71 Å³ per cell
crystal system = tetragonal

Geometry as CIF:
```
data_Zr2CrRh
_chemical_formula_sum 'Zr2 Cr1 Rh1'
_symmetry_space_group_name_H-M 'P 4/m m m'
_symmetry_Int_Tables_number 123
_symmetry_space_group_name_Hall '-P 4 2'
_cell_length_a 3.214
_cell_length_b 3.214
_cell_length_c 6.457
_cell_angle_alpha 90.00
_cell_angle_beta 90.00
_cell_angle_gamma 90.00
loop_
_atom_site_label
_atom_site_type_symbol
_atom_site_fract_x
_atom_site_fract_y
_atom_site_fract_z
Zr1 Zr 0.000 0.000 0.244
Cr1 Cr 0.500 0.500 0.000
Rh1 Rh 0.500 0.500 0.500
```

=====

The energetic minimum among the shown structures is entry B; the next structure lies 457 meV/atom above.